1.
First-principles (PBE) data for crystalline Zr2MnAlC at its relaxed geometry, as listed in Alexandria.

Results
**Total DFT energy (no corrections)**: -8.233 eV per atom
**Energy above the lowest structure with this stoichiometry**: 0.000 eV per atom

POSCAR file:
```
Zr2MnAlC
1.0
4.587 0.000 0.000
0.000 4.587 0.000
0.000 0.000 3.793
Zr Mn Al C
2 1 1 1
direct
0.000 0.500 0.000
0.500 0.000 0.000
0.000 0.000 0.500
0.500 0.500 0.500
0.000 0.000 0.000
```

2.
First-principles (PBE) data for crystalline Tb2FeC2 at its relaxed geometry, as listed in Alexandria.

Results
**Total DFT energy (no corrections)**: -7.499 eV per atom

POSCAR file:
```
Tb2FeC2
1.0
5.462 -2.536 0.000
5.462 2.536 0.000
-3.524 0.000 5.697
Tb Fe C
4 2 4
direct
0.042 0.042 0.285
0.317 0.317 0.888
0.683 0.683 0.112
0.958 0.958 0.715
0.371 0.371 0.369
0.629 0.629 0.631
0.184 0.184 0.108
0.485 0.485 0.700
0.515 0.515 0.300
0.816 0.816 0.892
```